Entry from Alexandria: crystalline Ti3CoSn2P6O24 at its relaxed geometry (PBE with a Hubbard U).

Calculated values
V = 490 Å³/cell
E = -7.51 eV per atom
N(E_F) = 0.19 states/eV per atom

a b c (Å): 9.2008 9.2008 9.2008
angles (deg): 55.23 55.23 55.23
Element x y z (fractional)
Ti  0.6468  0.6468  0.6468
Ti  0.8539  0.8539  0.8539
Ti  0.3438  0.3438  0.3438
Co  0.1563  0.1563  0.1563
Sn  0.0230  0.0230  0.0230
Sn  0.4841  0.4841  0.4841
P  0.9561  0.2516  0.5364
P  0.5364  0.9561  0.2516
P  0.2516  0.5364  0.9561
P  0.7446  0.4701  0.0355
P  0.4701  0.0355  0.7446
P  0.0355  0.7446  0.4701
O  0.5049  0.1330  0.2718
O  0.2718  0.5049  0.1330
O  0.1330  0.2718  0.5049
O  0.9526  0.0564  0.6971
O  0.9651  0.2724  0.3561
O  0.7766  0.4078  0.6099
O  0.6971  0.9526  0.0564
O  0.6099  0.7766  0.4078
O  0.7579  0.6414  0.0124
O  0.4078  0.6099  0.7766
O  0.9332  0.2955  0.0396
O  0.6414  0.0124  0.7579
O  0.3561  0.9651  0.2724
O  0.0564  0.6971  0.9526
O  0.5798  0.4201  0.2302
O  0.2724  0.3561  0.9651
O  0.4201  0.2302  0.5798
O  0.2955  0.0396  0.9332
O  0.2302  0.5798  0.4201
O  0.0124  0.7579  0.6414
O  0.0396  0.9332  0.2955
O  0.8818  0.6938  0.5085
O  0.6938  0.5085  0.8818
O  0.5085  0.8818  0.6938